# CaYSc2Mn

A geometry-optimized CaYSc2Mn structure (PBE-GGA, the Alexandria database).

The total energy comes out at -29.50 eV/f.u. The energy of formation from the pure elements comes out at 160 meV/atom. The spin magnetization is 0.38 μB/f.u.

It has space group P4/mmm (No. 123), with a = 5.044 Å, b = 5.044 Å, c = 5.266 Å, α = 90.00°, β = 90.00° and γ = 90.00°. The inequivalent atoms are Ca at (0.000, 0.000, 0.000), Y at (0.500, 0.500, 0.000), Sc at (0.000, 0.500, 0.500) and Mn at (0.500, 0.500, 0.500).